Compound: Ce4UO10
Source: Alexandria via LeMat-Bulk
Functional: PBE
Structure: optimized geometry

Properties
Uncorrected formation energy ... -3.47 eV per atom
Density of states at the Fermi level ... 1.01 states/eV/atom
Distance to the lowest polymorph of the same formula ... 6 meV per atom

Cell: 15.844 15.844 15.844 Å, 14.06 14.06 14.06°
Fractional coordinates of all 15 atoms:
Ce: 0.100 0.100 0.100
Ce: 0.300 0.300 0.300
Ce: 0.700 0.700 0.700
Ce: 0.900 0.900 0.900
U: 0.500 0.500 0.500
O: 0.051 0.051 0.051
O: 0.153 0.153 0.153
O: 0.248 0.248 0.248
O: 0.350 0.350 0.350
O: 0.455 0.455 0.455
O: 0.545 0.545 0.545
O: 0.650 0.650 0.650
O: 0.752 0.752 0.752
O: 0.847 0.847 0.847
O: 0.949 0.949 0.949